The following is a PBE calculation of a geometry-optimized NbN structure, from Alexandria.

```
NbN
1.0
8.963 0.000 0.000
0.000 10.085 0.000
0.000 0.000 6.395
Nb N
16 16
Cartesian
5.335 7.564 4.796
3.094 0.000 3.198
3.629 7.564 1.599
5.870 0.000 3.198
8.110 2.521 1.599
7.575 5.043 3.198
0.853 2.521 4.796
5.335 2.521 1.599
7.575 0.000 0.000
3.629 2.521 4.796
0.853 7.564 1.599
8.110 7.564 4.796
3.094 5.043 0.000
1.388 5.043 3.198
1.388 0.000 0.000
5.870 5.043 0.000
6.722 9.159 4.796
0.000 3.448 3.198
6.722 0.926 1.599
6.722 5.969 4.796
2.241 9.159 1.599
0.000 1.595 0.000
2.241 5.969 1.599
4.482 3.448 0.000
0.000 8.490 0.000
0.000 6.638 3.198
2.241 4.116 4.796
6.722 4.116 1.599
4.482 6.638 0.000
4.482 1.595 3.198
4.482 8.490 3.198
2.241 0.926 4.796
```

Final energy ... -9.691 eV per atom
Magnetic moment ... 0.00 μB/cell
Formation energy (no corrections) ... -0.49 eV per atom